(1)
NiAgPd2C | PBE | relaxed

**Crystal system**: tetragonal
**Magnetization**: 0.0000 μB/atom
**Energy of formation**: 17 kJ/mol of atoms

Unit cell a=4.2386 b=4.2386 c=3.7455 alpha=90.00 beta=90.00 gamma=90.00
Sites, in units of the cell vectors:
Ni1 0.0000 0.0000 0.0000
Ag1 0.5000 0.5000 0.0000
Pd1 0.0000 0.5000 0.5000
Pd2 0.5000 0.0000 0.5000
C1 0.0000 0.0000 0.5000

---

(2)
Ni2AgPdC | PBE | relaxed

**Crystal system**: tetragonal
**Magnetization**: 0.0001 μB/atom
**Energy of formation**: 18 kJ/mol of atoms

Unit cell a=3.8462 b=3.8462 c=4.1928 alpha=90.00 beta=90.00 gamma=90.00
Sites, in units of the cell vectors:
Ni1 0.0000 0.5000 0.0000
Ni2 0.5000 0.0000 0.0000
Ag1 0.0000 0.0000 0.5000
Pd1 0.5000 0.5000 0.5000
C1 0.5000 0.5000 0.0000

---

(3)
Pr2NiAgC | PBE | relaxed

**Crystal system**: tetragonal
**Magnetization**: 0.0000 μB/atom
**Energy of formation**: -22 kJ/mol of atoms

Unit cell a=5.3366 b=5.3366 c=3.6746 alpha=90.00 beta=90.00 gamma=90.00
Sites, in units of the cell vectors:
Pr1 0.0000 0.5000 0.0000
Pr2 0.5000 0.0000 0.0000
Ni1 0.0000 0.0000 0.5000
Ag1 0.5000 0.5000 0.5000
C1 0.0000 0.0000 0.0000

---

(4)
NiAgRh2C | PBE | relaxed

**Relative energy among the computed polymorphs**: 2095 meV per atom
**Crystal system**: tetragonal
**Magnetization**: 0.4529 μB/atom
**Energy of formation**: 220 kJ/mol of atoms

Unit cell a=4.4413 b=4.4413 c=4.6790 alpha=90.00 beta=90.00 gamma=90.00
Sites, in units of the cell vectors:
Ni1 0.0000 0.0000 0.0000
Ag1 0.0000 0.0000 0.5000
Rh1 0.0000 0.5000 0.0000
Rh2 0.5000 0.0000 0.0000
C1 0.5000 0.5000 0.5000

---

Copy entry 3 word for word.
Pr2NiAgC | PBE | relaxed

**Crystal system**: tetragonal
**Magnetization**: 0.0000 μB/atom
**Energy of formation**: -22 kJ/mol of atoms

Unit cell a=5.3366 b=5.3366 c=3.6746 alpha=90.00 beta=90.00 gamma=90.00
Sites, in units of the cell vectors:
Pr1 0.0000 0.5000 0.0000
Pr2 0.5000 0.0000 0.0000
Ni1 0.0000 0.0000 0.5000
Ag1 0.5000 0.5000 0.5000
C1 0.0000 0.0000 0.0000

---

What did the first record say?
NiAgPd2C | PBE | relaxed

**Crystal system**: tetragonal
**Magnetization**: 0.0000 μB/atom
**Energy of formation**: 17 kJ/mol of atoms

Unit cell a=4.2386 b=4.2386 c=3.7455 alpha=90.00 beta=90.00 gamma=90.00
Sites, in units of the cell vectors:
Ni1 0.0000 0.0000 0.0000
Ag1 0.5000 0.5000 0.0000
Pd1 0.0000 0.5000 0.5000
Pd2 0.5000 0.0000 0.5000
C1 0.0000 0.0000 0.5000

---

Number 3 is which compound?
Pr2NiAgC